Entry 1:
DyGa3Pd: relaxed, GGA-PBE.

Unit cell a=5.712 b=7.688 c=8.425 alpha=97.04 beta=90.00 gamma=90.00
Fractional coordinates of all 20 atoms:
Pd: 0.934 0.799 0.043
Ga: 0.883 0.444 0.370
Ga: 0.334 0.002 0.116
Pd: 0.434 0.701 0.957
Ga: 0.605 0.632 0.231
Ga: 0.383 0.056 0.630
Ga: 0.666 0.998 0.884
Dy: 0.376 0.307 0.375
Ga: 0.105 0.868 0.769
Ga: 0.117 0.556 0.630
Ga: 0.166 0.502 0.116
Dy: 0.624 0.693 0.625
Dy: 0.876 0.193 0.625
Pd: 0.566 0.299 0.043
Ga: 0.834 0.498 0.884
Ga: 0.617 0.944 0.370
Pd: 0.066 0.201 0.957
Ga: 0.895 0.132 0.231
Dy: 0.124 0.807 0.375
Ga: 0.395 0.368 0.769

Calculated total energy ... -87.24 eV/cell
ΔE to the lowest computed polymorph ... 63.4 meV per atom
D(E_F) ... 0.4534 states/eV/atom
DFT formation energy ... -0.587 eV/atom

Entry 2:
Dy3Ga4Pd4: relaxed, GGA-PBE.

Unit cell a=4.173 b=7.149 c=8.216 alpha=115.79 beta=104.71 gamma=90.00
Fractional coordinates of all 11 atoms:
Pd: 0.787 0.287 0.575
Ga: 0.326 0.127 0.653
Pd: 0.213 0.713 0.425
Dy: 0.000 0.500 0.000
Ga: 0.674 0.474 0.347
Dy: 0.126 0.126 0.252
Pd: 0.500 0.198 0.000
Ga: 0.674 0.873 0.347
Ga: 0.326 0.526 0.653
Dy: 0.874 0.874 0.748
Pd: 0.500 0.802 0.000

Calculated total energy ... -55.91 eV/cell
ΔE to the lowest computed polymorph ... 0.0 meV per atom
D(E_F) ... 0.5850 states/eV/atom
DFT formation energy ... -0.839 eV/atom

Entry 3:
DyGa4Pd6: relaxed, GGA-PBE.

Unit cell a=7.695 b=7.695 c=7.695 alpha=58.35 beta=139.67 gamma=139.67
Fractional coordinates of all 11 atoms:
Dy: 0.000 0.000 0.000
Pd: 0.500 0.500 0.000
Pd: 0.568 0.606 0.606
Pd: 0.000 0.962 0.394
Ga: 0.624 0.448 0.448
Pd: 0.432 0.038 0.038
Pd: 0.500 0.000 0.500
Ga: 0.000 0.552 0.176
Pd: 0.000 0.394 0.962
Ga: 0.000 0.176 0.552
Ga: 0.376 0.824 0.824

Calculated total energy ... -54.03 eV/cell
ΔE to the lowest computed polymorph ... 194.7 meV per atom
D(E_F) ... 0.1530 states/eV/atom
DFT formation energy ... -0.560 eV/atom

Entry 4:
Dy3Ga9Pd2: relaxed, GGA-PBE.

Unit cell a=4.280 b=8.177 c=8.177 alpha=71.66 beta=74.83 gamma=74.83
Fractional coordinates of all 14 atoms:
Ga: 0.342 0.027 0.290
Ga: 0.342 0.290 0.027
Pd: 0.500 0.694 0.306
Ga: 0.863 0.856 0.418
Ga: 0.658 0.710 0.973
Ga: 0.137 0.582 0.144
Dy: 0.695 0.305 0.305
Dy: 0.305 0.695 0.695
Ga: 0.000 0.500 0.500
Ga: 0.658 0.973 0.710
Ga: 0.137 0.144 0.582
Dy: 0.000 0.000 0.000
Ga: 0.863 0.418 0.856
Pd: 0.500 0.306 0.694

Calculated total energy ... -60.56 eV/cell
D(E_F) ... 0.2185 states/eV/atom
DFT formation energy ... -0.652 eV/atom

Question: Which value of calculated total energy does entry 2 give?
Answer: -55.91 eV/cell

Question: Which value of D(E_F) does entry 1 give?
Answer: 0.4534 states/eV/atom

Question: The lowest calculated total energy belongs to which entry?
Answer: DyGa3Pd

Repeat the fourth record exactly.
Dy3Ga9Pd2: relaxed, GGA-PBE.

Unit cell a=4.280 b=8.177 c=8.177 alpha=71.66 beta=74.83 gamma=74.83
Fractional coordinates of all 14 atoms:
Ga: 0.342 0.027 0.290
Ga: 0.342 0.290 0.027
Pd: 0.500 0.694 0.306
Ga: 0.863 0.856 0.418
Ga: 0.658 0.710 0.973
Ga: 0.137 0.582 0.144
Dy: 0.695 0.305 0.305
Dy: 0.305 0.695 0.695
Ga: 0.000 0.500 0.500
Ga: 0.658 0.973 0.710
Ga: 0.137 0.144 0.582
Dy: 0.000 0.000 0.000
Ga: 0.863 0.418 0.856
Pd: 0.500 0.306 0.694

Calculated total energy ... -60.56 eV/cell
D(E_F) ... 0.2185 states/eV/atom
DFT formation energy ... -0.652 eV/atom